# 1
Ce2Ge3Ir: optimized geometry, PBE-GGA.

As for the total energy: -39.10 eV per formula unit. Its formation energy is -753.1 meV per atom.

It has space group Pmm2 (No. 25), with a = 3.986 Å, b = 4.415 Å, c = 7.289 Å, α = 90.00°, β = 90.00° and γ = 90.00°. Symmetry generates all atoms from Ce at (0.000, 0.000, 0.000), Ce at (0.000, 0.500, 0.478), Ge at (0.500, 0.000, 0.651), Ge at (0.500, 0.500, 0.156), Ge at (0.500, 0.500, 0.816) and Ir at (0.500, 0.000, 0.312).

=====

# 2
GdYAgRu: optimized geometry, PBE-GGA.

As for the total energy: -33.92 eV per formula unit. Its formation energy is -312.5 meV per atom.

It has space group F-43m (No. 216), with a = 7.060 Å, b = 7.060 Å, c = 7.060 Å, α = 90.00°, β = 90.00° and γ = 90.00°. Symmetry generates all atoms from Gd at (0.000, 0.000, 0.000), Y at (0.000, 0.000, 0.500), Ag at (0.250, 0.250, 0.250) and Ru at (0.250, 0.250, 0.750).

=====

The evaluated N(E_F) for the records listed, in turn: 1.28; 0.68 states/eV/atom.